Entry from Alexandria via LeMat-Bulk: a relaxed LaBPCl2 crystal (PBE).

It has space group P4/mmm (No. 123), with a = 5.483 Å, b = 5.483 Å, c = 5.943 Å, α = 90.00°, β = 90.00° and γ = 90.00°. The inequivalent atoms are La at (0.000, 0.000, 0.000), B at (0.500, 0.500, 0.500), P at (0.000, 0.000, 0.500) and Cl at (0.000, 0.500, 0.000).

The energy relative to the elements, uncorrected comes out at 0.16 eV/atom. The energy above the most stable polymorph in this dataset is 0.586 eV/atom. The calculation puts the density at 2.34 g/cm³. The electronic total energy comes out at -3.98 eV per atom. As for the density of states at the Fermi level: 0.77 states/eV per atom.

=====

Entry from Alexandria via LeMat-Bulk: a relaxed LaBPCl2 crystal (PBE).

It has space group P4/mmm (No. 123), with a = 4.605 Å, b = 4.605 Å, c = 4.464 Å, α = 90.00°, β = 90.00° and γ = 90.00°. The inequivalent atoms are La at (0.000, 0.000, 0.000), B at (0.500, 0.500, 0.500), P at (0.500, 0.500, 0.000) and Cl at (0.000, 0.500, 0.500).

The energy relative to the elements, uncorrected comes out at -0.43 eV/atom. The energy above the most stable polymorph in this dataset is 0.000 eV/atom. The calculation puts the density at 4.41 g/cm³. The electronic total energy comes out at -4.57 eV per atom. As for the density of states at the Fermi level: 0.24 states/eV per atom.

=====

Entry from Alexandria via LeMat-Bulk: a relaxed LaBPd2Cl crystal (PBE).

It has space group P4/mmm (No. 123), with a = 4.123 Å, b = 4.123 Å, c = 5.779 Å, α = 90.00°, β = 90.00° and γ = 90.00°. The inequivalent atoms are La at (0.000, 0.000, 0.000), B at (0.000, 0.000, 0.500), Pd at (0.000, 0.500, 0.500) and Cl at (0.500, 0.500, 0.000).

The energy relative to the elements, uncorrected comes out at -0.66 eV/atom. The calculation puts the density at 6.73 g/cm³. The electronic total energy comes out at -5.43 eV per atom. As for the density of states at the Fermi level: 0.44 states/eV per atom.

=====

Entry from Alexandria via LeMat-Bulk: a relaxed Rb2LaBCl6 crystal (PBE).

It has space group Fm-3m (No. 225), with a = 10.818 Å, b = 10.818 Å, c = 10.818 Å, α = 90.00°, β = 90.00° and γ = 90.00°. The inequivalent atoms are Rb at (0.250, 0.250, 0.250), La at (0.000, 0.000, 0.000), B at (0.000, 0.000, 0.500) and Cl at (0.000, 0.000, 0.256).

The energy relative to the elements, uncorrected comes out at -1.42 eV/atom. The calculation puts the density at 2.80 g/cm³. The electronic total energy comes out at -3.88 eV per atom. As for the density of states at the Fermi level: 0.00 states/eV per atom.

=====

Entry from Alexandria via LeMat-Bulk: a relaxed LaBSCl2 crystal (PBE).

It has space group P4/mmm (No. 123), with a = 5.523 Å, b = 5.523 Å, c = 5.619 Å, α = 90.00°, β = 90.00° and γ = 90.00°. The inequivalent atoms are La at (0.000, 0.000, 0.000), B at (0.500, 0.500, 0.500), S at (0.000, 0.000, 0.500) and Cl at (0.000, 0.500, 0.000).

The energy relative to the elements, uncorrected comes out at -0.32 eV/atom. The energy above the most stable polymorph in this dataset is 0.287 eV/atom. The calculation puts the density at 2.45 g/cm³. The electronic total energy comes out at -4.21 eV per atom. As for the density of states at the Fermi level: 0.01 states/eV per atom.

=====

Entry from Alexandria via LeMat-Bulk: a relaxed LaBSCl2 crystal (PBE).

It has space group P4/mmm (No. 123), with a = 4.594 Å, b = 4.594 Å, c = 4.461 Å, α = 90.00°, β = 90.00° and γ = 90.00°. The inequivalent atoms are La at (0.000, 0.000, 0.000), B at (0.500, 0.500, 0.500), S at (0.500, 0.500, 0.000) and Cl at (0.000, 0.500, 0.500).

The energy relative to the elements, uncorrected comes out at -0.61 eV/atom. The energy above the most stable polymorph in this dataset is 0.000 eV/atom. The calculation puts the density at 4.46 g/cm³. The electronic total energy comes out at -4.49 eV per atom. As for the density of states at the Fermi level: 0.61 states/eV per atom.

=====

Entry from Alexandria via LeMat-Bulk: a relaxed LaSiB2Cl crystal (PBE).

It has space group P4/mmm (No. 123), with a = 4.912 Å, b = 4.912 Å, c = 6.125 Å, α = 90.00°, β = 90.00° and γ = 90.00°. The inequivalent atoms are La at (0.000, 0.000, 0.000), Si at (0.000, 0.000, 0.500), B at (0.000, 0.500, 0.000) and Cl at (0.500, 0.500, 0.500).

The energy relative to the elements, uncorrected comes out at 1.93 eV/atom. The calculation puts the density at 2.52 g/cm³. The electronic total energy comes out at -3.18 eV per atom. As for the density of states at the Fermi level: 1.23 states/eV per atom.

=====

Entry from Alexandria via LeMat-Bulk: a relaxed LaSiBCl2 crystal (PBE).

It has space group P4/mmm (No. 123), with a = 5.270 Å, b = 5.270 Å, c = 3.721 Å, α = 90.00°, β = 90.00° and γ = 90.00°. The inequivalent atoms are La at (0.000, 0.000, 0.000), Si at (0.500, 0.500, 0.500), B at (0.500, 0.500, 0.000) and Cl at (0.000, 0.500, 0.500).

The energy relative to the elements, uncorrected comes out at -0.24 eV/atom. The calculation puts the density at 4.00 g/cm³. The electronic total energy comes out at -4.39 eV per atom. As for the density of states at the Fermi level: 0.94 states/eV per atom.

=====

Entry from Alexandria via LeMat-Bulk: a relaxed LaSnBCl2 crystal (PBE).

It has space group P4/mmm (No. 123), with a = 5.191 Å, b = 5.191 Å, c = 6.579 Å, α = 90.00°, β = 90.00° and γ = 90.00°. The inequivalent atoms are La at (0.000, 0.000, 0.000), Sn at (0.000, 0.000, 0.500), B at (0.500, 0.500, 0.000) and Cl at (0.000, 0.500, 0.500).

The energy relative to the elements, uncorrected comes out at 0.51 eV/atom. The calculation puts the density at 3.18 g/cm³. The electronic total energy comes out at -3.35 eV per atom. As for the density of states at the Fermi level: 0.65 states/eV per atom.

=====

Entry from Alexandria via LeMat-Bulk: a relaxed LiB3Cl crystal (PBE).

It has space group Pm-3m (No. 221), with a = 4.075 Å, b = 4.075 Å, c = 4.075 Å, α = 90.00°, β = 90.00° and γ = 90.00°. The inequivalent atoms are Li at (0.000, 0.000, 0.000), B at (0.000, 0.000, 0.500) and Cl at (0.500, 0.500, 0.500).

The energy relative to the elements, uncorrected comes out at 2.12 eV/atom. The energy above the most stable polymorph in this dataset is 0.000 eV/atom. The calculation puts the density at 1.84 g/cm³. The electronic total energy comes out at -2.63 eV per atom. As for the density of states at the Fermi level: 0.39 states/eV per atom.

=====

Entry from Alexandria via LeMat-Bulk: a relaxed LiBCl2 crystal (PBE).

It has space group R-3m (No. 166, hexagonal axes), with a = 3.3013 Å, b = 3.3013 Å, c = 20.4998 Å, α = 90.00°, β = 90.00° and γ = 120.00°. The inequivalent atoms are Li at (0.0000, 0.0000, 0.0000), B at (0.0000, 0.0000, 0.5000) and Cl at (0.0000, 0.0000, 0.4067).

The energy relative to the elements, uncorrected comes out at 0.07 eV/atom. The energy above the most stable polymorph in this dataset is 0.161 eV/atom. The calculation puts the density at 2.28 g/cm³. The electronic total energy comes out at -3.00 eV per atom. As for the density of states at the Fermi level: 0.00 states/eV per atom.

=====

Entry from Alexandria via LeMat-Bulk: a relaxed Li2BCl2 crystal (PBE).

It has space group P4/mbm (No. 127), with a = 7.099 Å, b = 7.099 Å, c = 3.363 Å, α = 90.00°, β = 90.00° and γ = 90.00°. The inequivalent atoms are Li at (0.157, 0.343, 0.000), B at (0.000, 0.000, 0.000) and Cl at (0.164, 0.664, 0.500).

The energy relative to the elements, uncorrected comes out at -0.18 eV/atom. The energy above the most stable polymorph in this dataset is 0.033 eV/atom. The calculation puts the density at 1.87 g/cm³. The electronic total energy comes out at -3.02 eV per atom. As for the density of states at the Fermi level: 0.51 states/eV per atom.

=====

Please write out number 8 again, unchanged.
Entry from Alexandria via LeMat-Bulk: a relaxed LaSiBCl2 crystal (PBE).

It has space group P4/mmm (No. 123), with a = 5.270 Å, b = 5.270 Å, c = 3.721 Å, α = 90.00°, β = 90.00° and γ = 90.00°. The inequivalent atoms are La at (0.000, 0.000, 0.000), Si at (0.500, 0.500, 0.500), B at (0.500, 0.500, 0.000) and Cl at (0.000, 0.500, 0.500).

The energy relative to the elements, uncorrected comes out at -0.24 eV/atom. The calculation puts the density at 4.00 g/cm³. The electronic total energy comes out at -4.39 eV per atom. As for the density of states at the Fermi level: 0.94 states/eV per atom.

=====

Q: Among the records above, which one has the lowest energy relative to the elements, uncorrected?
A: Rb2LaBCl6